DFT (GGA-PBE) results for crystalline TeP2Au at its relaxed geometry.

The value obtained for the total magnetic moment is 0.0000 μB/atom. Its final energy is -4.0807 eV/atom.

```
TeP2Au
1.0
5.231 -1.570 0.000
5.231 1.570 0.000
-0.155 0.000 6.446
Te P Au
1 2 1
Cartesian
0.000 0.000 0.000 Te
0.327 0.000 2.497 P
4.269 0.000 3.477 P
7.582 0.000 2.879 Au
```